SrLaB12 | GGA-PBE | relaxed

a b c (Å): 5.901 5.901 5.901
angles (deg): 60.00 60.00 60.00
Atoms (fractional coordinates):
1 Sr 0.000 0.000 0.000
2 La 0.500 0.500 0.500
3 B 0.101 0.101 0.399
4 B 0.101 0.399 0.101
5 B 0.101 0.399 0.399
6 B 0.399 0.101 0.101
7 B 0.399 0.101 0.399
8 B 0.399 0.399 0.101
9 B 0.601 0.601 0.899
10 B 0.601 0.899 0.601
11 B 0.601 0.899 0.899
12 B 0.899 0.601 0.601
13 B 0.899 0.601 0.899
14 B 0.899 0.899 0.601

Calculated total energy   -6.705 eV per atom
Formation enthalpy at 0 K   -688 kJ/mol of formula units

EuDyInGe | GGA-PBE | relaxed

a b c (Å): 5.294 5.294 5.294
angles (deg): 60.00 60.00 60.00
Atoms (fractional coordinates):
1 Eu 0.000 0.000 0.000
2 Dy 0.500 0.500 0.500
3 In 0.750 0.750 0.750
4 Ge 0.250 0.250 0.250

Calculated total energy   -6.020 eV per atom
Formation enthalpy at 0 K   -178 kJ/mol of formula units

MnB6N6 | GGA-PBE | relaxed

a b c (Å): 4.542 4.542 4.542
angles (deg): 90.00 90.00 90.00
Atoms (fractional coordinates):
1 Mn 0.000 0.000 0.000
2 B 0.000 0.243 0.500
3 B 0.000 0.757 0.500
4 B 0.243 0.500 0.000
5 B 0.500 0.000 0.243
6 B 0.500 0.000 0.757
7 B 0.757 0.500 0.000
8 N 0.000 0.500 0.252
9 N 0.000 0.500 0.748
10 N 0.252 0.000 0.500
11 N 0.500 0.252 0.000
12 N 0.500 0.748 0.000
13 N 0.748 0.000 0.500

Calculated total energy   -7.912 eV per atom
Uncorrected formation energy   -0.28 eV per atom

CoPOsS2 | GGA-PBE | relaxed

a b c (Å): 4.288 4.288 4.198
angles (deg): 90.00 90.00 90.00
Atoms (fractional coordinates):
1 Co 0.000 0.000 0.000
2 P 0.000 0.000 0.500
3 Os 0.500 0.500 0.500
4 S 0.000 0.500 0.000
5 S 0.500 0.000 0.000

Calculated total energy   -5.332 eV per atom
Uncorrected formation energy   1.07 eV per atom

Nd2Ho3Te6 | GGA-PBE | relaxed

a b c (Å): 7.572 7.572 7.609
angles (deg): 99.66 99.66 119.72
Atoms (fractional coordinates):
1 Nd 0.164 0.836 0.000
2 Nd 0.836 0.164 0.000
3 Ho 0.000 0.000 0.500
4 Ho 0.329 0.671 0.500
5 Ho 0.671 0.329 0.500
6 Te 0.096 0.417 0.747
7 Te 0.265 0.265 0.257
8 Te 0.417 0.096 0.747
9 Te 0.583 0.904 0.253
10 Te 0.735 0.735 0.743
11 Te 0.904 0.583 0.253

Calculated total energy   -5.243 eV per atom
Uncorrected formation energy   -1.41 eV per atom

Ba2In4Ag3Pd | GGA-PBE | relaxed

a b c (Å): 4.852 4.852 11.563
angles (deg): 90.00 90.00 90.00
Atoms (fractional coordinates):
1 Ba 0.000 0.500 0.242
2 Ba 0.500 0.000 0.758
3 In 0.000 0.000 0.500
4 In 0.000 0.500 0.886
5 In 0.500 0.000 0.114
6 In 0.500 0.500 0.500
7 Ag 0.000 0.000 0.000
8 Ag 0.000 0.500 0.639
9 Ag 0.500 0.000 0.361
10 Pd 0.500 0.500 0.000

Calculated total energy   -3.207 eV per atom
Formation enthalpy at 0 K   -340 kJ/mol of formula units

Li3NbAg | GGA-PBE | relaxed

a b c (Å): 4.507 4.507 4.507
angles (deg): 90.00 90.00 90.00
Atoms (fractional coordinates):
1 Li 0.000 0.000 0.500
2 Li 0.000 0.500 0.000
3 Li 0.500 0.000 0.000
4 Nb 0.500 0.500 0.500
5 Ag 0.000 0.000 0.000

Calculated total energy   -2.878 eV per atom
Formation enthalpy at 0 K   412 kJ/mol of formula units

SrBe3 | GGA-PBE | relaxed

a b c (Å): 6.335 6.335 6.335
angles (deg): 90.00 90.00 90.00
Atoms (fractional coordinates):
1 Sr 0.000 0.000 0.000
2 Be 0.000 0.000 0.500
3 Be 0.000 0.500 0.000
4 Be 0.500 0.000 0.000

Calculated total energy   -0.786 eV per atom
Formation enthalpy at 0 K   938 kJ/mol of formula units

KAlOs2 | GGA-PBE | relaxed

a b c (Å): 4.448 4.448 7.434
angles (deg): 94.34 94.34 36.74
Atoms (fractional coordinates):
1 K 0.000 0.000 0.000
2 Al 0.771 0.771 0.349
3 Os 0.239 0.239 0.649
4 Os 0.499 0.499 0.531

Calculated total energy   -6.312 eV per atom
Formation enthalpy at 0 K   198 kJ/mol of formula units

Na2MnTeS4 | GGA-PBE | relaxed

a b c (Å): 7.738 7.738 7.731
angles (deg): 118.62 118.62 88.31
Atoms (fractional coordinates):
1 Na 0.000 0.000 0.000
2 Na 0.000 0.000 0.500
3 Na 0.000 0.500 0.000
4 Na 0.500 0.000 0.500
5 Mn 0.500 0.500 0.000
6 Mn 0.500 0.500 0.500
7 Te 0.000 0.500 0.500
8 Te 0.500 0.000 0.000
9 S 0.254 0.707 0.488
10 S 0.279 0.293 0.576
11 S 0.293 0.279 0.076
12 S 0.293 0.746 0.012
13 S 0.707 0.254 0.988
14 S 0.707 0.721 0.924
15 S 0.721 0.707 0.424
16 S 0.746 0.293 0.512

Calculated total energy   -4.492 eV per atom
Uncorrected formation energy   -0.56 eV per atom

ReP | GGA-PBE | relaxed

a b c (Å): 2.963 2.963 2.963
angles (deg): 90.00 90.00 90.00
Atoms (fractional coordinates):
1 Re 0.000 0.000 0.000
2 P 0.500 0.500 0.500

Calculated total energy   -9.015 eV per atom
Formation enthalpy at 0 K   -17 kJ/mol of formula units

V2Fe8Si | GGA-PBE | relaxed

a b c (Å): 6.813 6.813 6.813
angles (deg): 145.72 131.13 61.05
Atoms (fractional coordinates):
1 V 0.175 0.175 0.000
2 V 0.825 0.825 0.000
3 Fe 0.085 0.343 0.742
4 Fe 0.234 0.000 0.234
5 Fe 0.334 0.834 0.500
6 Fe 0.399 0.657 0.742
7 Fe 0.601 0.343 0.258
8 Fe 0.666 0.166 0.500
9 Fe 0.766 0.000 0.766
10 Fe 0.915 0.657 0.258
11 Si 0.500 0.500 0.000

Calculated total energy   -8.325 eV per atom
Uncorrected formation energy   -0.02 eV per atom